First-principles (PBE) data for an optimized crystal structure of Sm3Sc5H12, as listed in Alexandria.

Lattice parameters (Å, degrees): 10.8734 10.8734 10.8734 109.47 109.47 109.47
With the nearest neighbours (Å) after each atom.
Fractional coordinates of all 80 atoms:
Sm  0.1250  0.2500  0.3750  8 H 2.31-2.37
Sm  0.1250  0.3750  0.7500  8 H 2.31-2.37
Sm  0.2500  0.3750  0.1250  8 H 2.31-2.37
Sm  0.2500  0.8750  0.6250  8 H 2.31-2.37
Sm  0.3750  0.1250  0.2500  8 H 2.31-2.37
Sm  0.3750  0.7500  0.1250  8 H 2.31-2.37
Sm  0.6250  0.2500  0.8750  8 H 2.31-2.37
Sm  0.6250  0.8750  0.7500  8 H 2.31-2.37
Sm  0.7500  0.1250  0.3750  8 H 2.31-2.37
Sm  0.7500  0.6250  0.8750  8 H 2.31-2.37
Sm  0.8750  0.6250  0.2500  8 H 2.31-2.37
Sm  0.8750  0.7500  0.6250  8 H 2.31-2.37
Sc  0.0000  0.0000  0.0000  6 H 2.05
Sc  0.0000  0.0000  0.5000  6 H 2.05
Sc  0.0000  0.5000  0.0000  6 H 2.05
Sc  0.0000  0.5000  0.5000  6 H 2.05
Sc  0.1250  0.7500  0.8750  4 H 2.03
Sc  0.1250  0.8750  0.2500  4 H 2.03
Sc  0.2500  0.1250  0.8750  4 H 2.03
Sc  0.2500  0.6250  0.3750  4 H 2.03
Sc  0.3750  0.2500  0.6250  4 H 2.03
Sc  0.3750  0.6250  0.7500  4 H 2.03
Sc  0.5000  0.0000  0.0000  6 H 2.05
Sc  0.5000  0.0000  0.5000  6 H 2.05
Sc  0.5000  0.5000  0.0000  6 H 2.05
Sc  0.5000  0.5000  0.5000  6 H 2.05
Sc  0.6250  0.3750  0.2500  4 H 2.03
Sc  0.6250  0.7500  0.3750  4 H 2.03
Sc  0.7500  0.3750  0.6250  4 H 2.03
Sc  0.7500  0.8750  0.1250  4 H 2.03
Sc  0.8750  0.1250  0.7500  4 H 2.03
Sc  0.8750  0.2500  0.1250  4 H 2.03
H  0.0484  0.2132  0.1344  2 Sc 2.03-2.05
H  0.0484  0.3352  0.9140  2 Sc 2.03-2.05
H  0.0788  0.7132  0.6648  2 Sc 2.03-2.05
H  0.0788  0.8656  0.4140  2 Sc 2.03-2.05
H  0.0860  0.6344  0.4212  2 Sc 2.03-2.05
H  0.0860  0.9516  0.6648  2 Sc 2.03-2.05
H  0.1344  0.0484  0.2132  2 Sc 2.03-2.05
H  0.1344  0.5860  0.9212  2 Sc 2.03-2.05
H  0.1648  0.2132  0.5788  2 Sc 2.03-2.05
H  0.1648  0.4516  0.5860  2 Sc 2.03-2.05
H  0.2132  0.1344  0.0484  2 Sc 2.03-2.05
H  0.2132  0.5788  0.1648  2 Sc 2.03-2.05
H  0.2868  0.3352  0.9212  2 Sc 2.03-2.05
H  0.2868  0.4516  0.3656  2 Sc 2.03-2.05
H  0.3352  0.9140  0.0484  2 Sc 2.03-2.05
H  0.3352  0.9212  0.2868  2 Sc 2.03-2.05
H  0.3656  0.2868  0.4516  2 Sc 2.03-2.05
H  0.3656  0.5788  0.9140  2 Sc 2.03-2.05
H  0.4140  0.0788  0.8656  2 Sc 2.03-2.05
H  0.4140  0.8352  0.5484  2 Sc 2.03-2.05
H  0.4212  0.0860  0.6344  2 Sc 2.03-2.05
H  0.4212  0.8352  0.7868  2 Sc 2.03-2.05
H  0.4516  0.3656  0.2868  2 Sc 2.03-2.05
H  0.4516  0.5860  0.1648  2 Sc 2.03-2.05
H  0.5484  0.4140  0.8352  2 Sc 2.03-2.05
H  0.5484  0.6344  0.7132  2 Sc 2.03-2.05
H  0.5788  0.1648  0.2132  2 Sc 2.03-2.05
H  0.5788  0.9140  0.3656  2 Sc 2.03-2.05
H  0.5860  0.1648  0.4516  2 Sc 2.03-2.05
H  0.5860  0.9212  0.1344  2 Sc 2.03-2.05
H  0.6344  0.4212  0.0860  2 Sc 2.03-2.05
H  0.6344  0.7132  0.5484  2 Sc 2.03-2.05
H  0.6648  0.0788  0.7132  2 Sc 2.03-2.05
H  0.6648  0.0860  0.9516  2 Sc 2.03-2.05
H  0.7132  0.5484  0.6344  2 Sc 2.03-2.05
H  0.7132  0.6648  0.0788  2 Sc 2.03-2.05
H  0.7868  0.4212  0.8352  2 Sc 2.03-2.05
H  0.7868  0.8656  0.9516  2 Sc 2.03-2.05
H  0.8352  0.5484  0.4140  2 Sc 2.03-2.05
H  0.8352  0.7868  0.4212  2 Sc 2.03-2.05
H  0.8656  0.4140  0.0788  2 Sc 2.03-2.05
H  0.8656  0.9516  0.7868  2 Sc 2.03-2.05
H  0.9140  0.0484  0.3352  2 Sc 2.03-2.05
H  0.9140  0.3656  0.5788  2 Sc 2.03-2.05
H  0.9212  0.1344  0.5860  2 Sc 2.03-2.05
H  0.9212  0.2868  0.3352  2 Sc 2.03-2.05
H  0.9516  0.6648  0.0860  2 Sc 2.03-2.05
H  0.9516  0.7868  0.8656  2 Sc 2.03-2.05

Results
- calculated total energy (eV per atom) = -4.7799



First-principles (PBE) data for an optimized crystal structure of SmScH, as listed in Alexandria.

Lattice parameters (Å, degrees): 3.3602 3.3602 4.9129 90.00 90.00 90.00
With the nearest neighbours (Å) after each atom.
Fractional coordinates of all 3 atoms:
Sm  0.0000  0.0000  0.0000  2 H 2.46
Sc  0.5000  0.5000  0.5000  4 H 2.38
H  0.0000  0.0000  0.5000  4 Sc 2.38, 2 Sm 2.46

Results
- excess energy over the best structure of this formula in the dataset (eV/atom) = 0.000



First-principles (PBE) data for an optimized crystal structure of SmScH2, as listed in Alexandria.

Lattice parameters (Å, degrees): 5.8767 5.8767 5.8767 33.53 33.53 33.53
With the nearest neighbours (Å) after each atom.
Fractional coordinates of all 4 atoms:
Sm  0.0000  0.0000  0.0000  6 H 2.55
Sc  0.5000  0.5000  0.5000  6 H 2.26
H  0.2346  0.2346  0.2346  3 Sc 2.26
H  0.7654  0.7654  0.7654  3 Sc 2.26

Results
- excess energy over the best structure of this formula in the dataset (eV/atom) = 0.000



First-principles (PBE) data for an optimized crystal structure of SmScH, as listed in Alexandria.

Lattice parameters (Å, degrees): 6.2316 6.2316 6.2316 149.11 149.11 44.25
With the nearest neighbours (Å) after each atom.
Fractional coordinates of all 3 atoms:
Sm  0.0000  0.0000  0.0000  4 H 2.37
Sc  0.2923  0.2923  0.0000  1 H 2.06
H  0.4704  0.4704  0.0000  1 Sc 2.06

Results
- excess energy over the best structure of this formula in the dataset (eV/atom) = 0.154



First-principles (PBE) data for an optimized crystal structure of Sm3ScH, as listed in Alexandria.

Lattice parameters (Å, degrees): 4.9975 4.9975 4.9975 90.00 90.00 90.00
With the nearest neighbours (Å) after each atom.
Fractional coordinates of all 5 atoms:
Sm  0.0000  0.0000  0.5000  2 H 2.50
Sm  0.0000  0.5000  0.0000  2 H 2.50
Sm  0.5000  0.0000  0.0000  2 H 2.50
Sc  0.5000  0.5000  0.5000  12 Sm 3.53
H  0.0000  0.0000  0.0000  6 Sm 2.50

Results
- calculated total energy (eV per atom) = -4.9095



First-principles (PBE) data for an optimized crystal structure of Sm2ScH8, as listed in Alexandria.

Lattice parameters (Å, degrees): 6.3536 6.3536 6.3536 146.03 133.92 58.46
With the nearest neighbours (Å) after each atom.
Fractional coordinates of all 11 atoms:
Sm  0.1684  0.1684  0.0000  12 H 2.25-2.49
Sm  0.8316  0.8316  0.0000  12 H 2.25-2.49
Sc  0.5000  0.5000  0.0000  8 H 2.04-2.20
H  0.1052  0.3541  0.7510  1 Sc 2.04, 2 Sm 2.25, 3 H 2.27
H  0.2639  0.0000  0.2639  2 Sc 2.20, 2 Sm 2.28, 3 H 2.35
H  0.3169  0.8169  0.5000  8 H 2.27-2.35, 4 Sm 2.48-2.49
H  0.3969  0.6459  0.7510  1 Sc 2.04, 2 Sm 2.25, 3 H 2.27
H  0.6031  0.3541  0.2490  1 Sc 2.04, 2 Sm 2.25, 3 H 2.27
H  0.6831  0.1831  0.5000  8 H 2.27-2.35, 4 Sm 2.48-2.49
H  0.7361  0.0000  0.7361  2 Sc 2.20, 2 Sm 2.28, 3 H 2.35
H  0.8948  0.6459  0.2490  1 Sc 2.04, 2 Sm 2.25, 3 H 2.27

Results
- calculated total energy (eV per atom) = -4.4339



First-principles (PBE) data for an optimized crystal structure of Sm5Sc3H12, as listed in Alexandria.

Lattice parameters (Å, degrees): 11.2540 11.2540 11.2540 109.47 109.47 109.47
With the nearest neighbours (Å) after each atom.
Fractional coordinates of all 80 atoms:
Sm  0.0000  0.0000  0.0000  6 H 2.26
Sm  0.0000  0.0000  0.5000  6 H 2.26
Sm  0.0000  0.5000  0.0000  6 H 2.26
Sm  0.0000  0.5000  0.5000  6 H 2.26
Sm  0.1250  0.7500  0.8750  4 H 2.23
Sm  0.1250  0.8750  0.2500  4 H 2.23
Sm  0.2500  0.1250  0.8750  4 H 2.23
Sm  0.2500  0.6250  0.3750  4 H 2.23
Sm  0.3750  0.2500  0.6250  4 H 2.23
Sm  0.3750  0.6250  0.7500  4 H 2.23
Sm  0.5000  0.0000  0.0000  6 H 2.26
Sm  0.5000  0.0000  0.5000  6 H 2.26
Sm  0.5000  0.5000  0.0000  6 H 2.26
Sm  0.5000  0.5000  0.5000  6 H 2.26
Sm  0.6250  0.3750  0.2500  4 H 2.23
Sm  0.6250  0.7500  0.3750  4 H 2.23
Sm  0.7500  0.3750  0.6250  4 H 2.23
Sm  0.7500  0.8750  0.1250  4 H 2.23
Sm  0.8750  0.1250  0.7500  4 H 2.23
Sm  0.8750  0.2500  0.1250  4 H 2.23
Sc  0.1250  0.2500  0.3750  4 H 2.08
Sc  0.1250  0.3750  0.7500  4 H 2.08
Sc  0.2500  0.3750  0.1250  4 H 2.08
Sc  0.2500  0.8750  0.6250  4 H 2.08
Sc  0.3750  0.1250  0.2500  4 H 2.08
Sc  0.3750  0.7500  0.1250  4 H 2.08
Sc  0.6250  0.2500  0.8750  4 H 2.08
Sc  0.6250  0.8750  0.7500  4 H 2.08
Sc  0.7500  0.1250  0.3750  4 H 2.08
Sc  0.7500  0.6250  0.8750  4 H 2.08
Sc  0.8750  0.6250  0.2500  4 H 2.08
Sc  0.8750  0.7500  0.6250  4 H 2.08
H  0.0558  0.7256  0.6543  1 Sc 2.08, 1 H 2.17, 2 Sm 2.23-2.26
H  0.0558  0.8302  0.4015  1 Sc 2.08, 1 H 2.17, 2 Sm 2.23-2.26
H  0.0713  0.2256  0.1698  1 Sc 2.08, 1 H 2.17, 2 Sm 2.23-2.26
H  0.0713  0.3457  0.9015  1 Sc 2.08, 1 H 2.17, 2 Sm 2.23-2.26
H  0.0985  0.6698  0.4442  1 Sc 2.08, 1 H 2.17, 2 Sm 2.23-2.26
H  0.0985  0.9287  0.6543  1 Sc 2.08, 1 H 2.17, 2 Sm 2.23-2.26
H  0.1543  0.2256  0.5558  1 Sc 2.08, 1 H 2.17, 2 Sm 2.23-2.26
H  0.1543  0.4287  0.5985  1 Sc 2.08, 1 H 2.17, 2 Sm 2.23-2.26
H  0.1698  0.0713  0.2256  1 Sc 2.08, 1 H 2.17, 2 Sm 2.23-2.26
H  0.1698  0.5985  0.9442  1 Sc 2.08, 1 H 2.17, 2 Sm 2.23-2.26
H  0.2256  0.1698  0.0713  1 Sc 2.08, 1 H 2.17, 2 Sm 2.23-2.26
H  0.2256  0.5558  0.1543  1 Sc 2.08, 1 H 2.17, 2 Sm 2.23-2.26
H  0.2744  0.3457  0.9442  1 Sc 2.08, 1 H 2.17, 2 Sm 2.23-2.26
H  0.2744  0.4287  0.3302  1 Sc 2.08, 1 H 2.17, 2 Sm 2.23-2.26
H  0.3302  0.2744  0.4287  1 Sc 2.08, 1 H 2.17, 2 Sm 2.23-2.26
H  0.3302  0.5558  0.9015  1 Sc 2.08, 1 H 2.17, 2 Sm 2.23-2.26
H  0.3457  0.9015  0.0713  1 Sc 2.08, 1 H 2.17, 2 Sm 2.23-2.26
H  0.3457  0.9442  0.2744  1 Sc 2.08, 1 H 2.17, 2 Sm 2.23-2.26
H  0.4015  0.0558  0.8302  1 Sc 2.08, 1 H 2.17, 2 Sm 2.23-2.26
H  0.4015  0.8457  0.5713  1 Sc 2.08, 1 H 2.17, 2 Sm 2.23-2.26
H  0.4287  0.3302  0.2744  1 Sc 2.08, 1 H 2.17, 2 Sm 2.23-2.26
H  0.4287  0.5985  0.1543  1 Sc 2.08, 1 H 2.17, 2 Sm 2.23-2.26
H  0.4442  0.0985  0.6698  1 Sc 2.08, 1 H 2.17, 2 Sm 2.23-2.26
H  0.4442  0.8457  0.7744  1 Sc 2.08, 1 H 2.17, 2 Sm 2.23-2.26
H  0.5558  0.1543  0.2256  1 Sc 2.08, 1 H 2.17, 2 Sm 2.23-2.26
H  0.5558  0.9015  0.3302  1 Sc 2.08, 1 H 2.17, 2 Sm 2.23-2.26
H  0.5713  0.4015  0.8457  1 Sc 2.08, 1 H 2.17, 2 Sm 2.23-2.26
H  0.5713  0.6698  0.7256  1 Sc 2.08, 1 H 2.17, 2 Sm 2.23-2.26
H  0.5985  0.1543  0.4287  1 Sc 2.08, 1 H 2.17, 2 Sm 2.23-2.26
H  0.5985  0.9442  0.1698  1 Sc 2.08, 1 H 2.17, 2 Sm 2.23-2.26
H  0.6543  0.0558  0.7256  1 Sc 2.08, 1 H 2.17, 2 Sm 2.23-2.26
H  0.6543  0.0985  0.9287  1 Sc 2.08, 1 H 2.17, 2 Sm 2.23-2.26
H  0.6698  0.4442  0.0985  1 Sc 2.08, 1 H 2.17, 2 Sm 2.23-2.26
H  0.6698  0.7256  0.5713  1 Sc 2.08, 1 H 2.17, 2 Sm 2.23-2.26
H  0.7256  0.5713  0.6698  1 Sc 2.08, 1 H 2.17, 2 Sm 2.23-2.26
H  0.7256  0.6543  0.0558  1 Sc 2.08, 1 H 2.17, 2 Sm 2.23-2.26
H  0.7744  0.4442  0.8457  1 Sc 2.08, 1 H 2.17, 2 Sm 2.23-2.26
H  0.7744  0.8302  0.9287  1 Sc 2.08, 1 H 2.17, 2 Sm 2.23-2.26
H  0.8302  0.4015  0.0558  1 Sc 2.08, 1 H 2.17, 2 Sm 2.23-2.26
H  0.8302  0.9287  0.7744  1 Sc 2.08, 1 H 2.17, 2 Sm 2.23-2.26
H  0.8457  0.5713  0.4015  1 Sc 2.08, 1 H 2.17, 2 Sm 2.23-2.26
H  0.8457  0.7744  0.4442  1 Sc 2.08, 1 H 2.17, 2 Sm 2.23-2.26
H  0.9015  0.0713  0.3457  1 Sc 2.08, 1 H 2.17, 2 Sm 2.23-2.26
H  0.9015  0.3302  0.5558  1 Sc 2.08, 1 H 2.17, 2 Sm 2.23-2.26
H  0.9287  0.6543  0.0985  1 Sc 2.08, 1 H 2.17, 2 Sm 2.23-2.26
H  0.9287  0.7744  0.8302  1 Sc 2.08, 1 H 2.17, 2 Sm 2.23-2.26
H  0.9442  0.1698  0.5985  1 Sc 2.08, 1 H 2.17, 2 Sm 2.23-2.26
H  0.9442  0.2744  0.3457  1 Sc 2.08, 1 H 2.17, 2 Sm 2.23-2.26

Results
- calculated total energy (eV per atom) = -4.5322



First-principles (PBE) data for an optimized crystal structure of SmSc3H, as listed in Alexandria.

Lattice parameters (Å, degrees): 4.6946 4.6946 4.6946 90.00 90.00 90.00
With the nearest neighbours (Å) after each atom.
Fractional coordinates of all 5 atoms:
Sm  0.0000  0.0000  0.0000  12 Sc 3.32
Sc  0.0000  0.5000  0.5000  2 H 2.35
Sc  0.5000  0.0000  0.5000  2 H 2.35
Sc  0.5000  0.5000  0.0000  2 H 2.35
H  0.5000  0.5000  0.5000  6 Sc 2.35

Results
- calculated total energy (eV per atom) = -5.5338



| no. | calculated density (g cm⁻³) |
| --- | --- |
| 1 | 4.62 |
| 2 | 5.88 |
| 3 | 5.94 |
| 4 | 5.13 |
| 5 | 6.61 |
| 6 | 5.74 |
| 7 | 5.44 |
| 8 | 4.59 |